#w
Material: Ac6CoPb2
Method: DFT, PBE
State: relaxed

Structure (POSCAR):
```
Ac6CoPb2
1.0
7.7591 0.0000 -0.2048
0.0000 7.7618 0.0000
0.2902 0.0000 10.9876
Co Ac Pb
2 12 4
Cartesian
3.8796 3.8809 -0.1024
0.1451 0.0000 5.4938
0.2263 0.0010 8.2454
3.9608 3.8799 2.6492
6.1391 1.9629 10.8263
2.1144 1.9180 5.4350
6.0867 5.8509 10.8289
1.9627 1.9110 -0.0462
5.9873 1.9700 5.3452
4.0885 3.8820 8.1336
2.0620 5.7919 5.4376
5.9349 5.8438 5.3478
7.8230 7.7608 2.5374
1.9102 5.7989 -0.0436
4.0982 0.0018 8.1385
3.9511 7.7600 2.6442
7.9758 3.8827 8.0356
0.0735 3.8791 2.7471
```

Calculated values
- total magnetization (μB/f.u.) = 0.00

#x
Material: Ac6CoPb2
Method: DFT, PBE
State: relaxed

Structure (POSCAR):
```
Ac6CoPb2
1.0
7.1456 0.0000 0.1586
0.0000 8.9614 0.0000
-0.6612 0.0000 10.8767
Ac Pb Co
12 4 2
Cartesian
5.3930 5.9966 10.4913
3.9664 1.7421 10.4729
4.3335 1.5159 6.0616
0.7242 2.7386 4.9553
6.2067 8.7243 2.8892
2.1508 7.4454 4.9737
0.2777 0.2371 8.1461
2.3032 4.7177 8.2482
5.7601 6.2228 6.0800
1.0913 2.9648 0.5440
2.5179 7.2193 0.5623
4.1811 4.2436 2.7870
3.6032 7.9680 8.2953
6.1233 3.4873 8.2576
2.8811 0.9934 2.7400
0.3611 5.4741 2.7777
3.5728 4.4807 0.0793
-0.3306 0.0000 5.4384
```

Calculated values
- total magnetization (μB/f.u.) = 0.00

Most favorable first, least favorable last: #w, #x

#w
Material: AcPm2Co
Method: DFT, PBE
State: relaxed

Structure (POSCAR):
```
AcPm2Co
1.0
3.8564 0.0000 0.0000
1.9282 3.3398 0.0000
1.9282 1.1133 10.6568
Pm Co Ac
2 1 1
Cartesian
1.9282 1.1133 6.8669
5.7846 3.3398 3.7899
3.8564 2.2265 5.3284
0.0000 0.0000 0.0000
```

Calculated values
- total magnetization (μB/f.u.) = 0.00

#x
Material: AcPm2Co
Method: DFT, PBE
State: relaxed

Structure (POSCAR):
```
AcPm2Co
1.0
-5.0609 -1.5714 3.9060
-2.9109 -3.9023 -5.3416
4.9960 -8.1174 3.2076
Pm Ac Co
8 4 4
Cartesian
-2.9764 -8.9602 0.0179
-2.4581 -3.4646 -2.6475
-0.6863 -6.3434 -1.5099
0.0005 -4.6309 1.7541
-0.5178 -10.1266 4.4195
-1.7713 -1.7521 0.6166
-2.2896 -7.2477 3.2819
-1.2046 -11.8391 1.1554
0.6293 -8.4103 1.3847
0.2493 -10.0276 -2.1161
-3.2252 -3.5635 3.8881
-3.6052 -5.1808 0.3873
0.4634 -7.4584 4.0521
-2.6975 -9.9391 2.6976
-0.2784 -3.6520 -0.9256
-3.4394 -6.1327 -2.2801
```

Calculated values
- total magnetization (μB/f.u.) = 0.00

#y
Material: AcPm2Co
Method: DFT, PBE
State: relaxed

Structure (POSCAR):
```
AcPm2Co
1.0
-3.5838 1.1191 0.7578
0.7961 -5.8659 2.7388
3.1562 4.3784 8.4602
Co Ac Pm
2 2 4
Cartesian
-1.4682 -0.8333 3.9549
1.8367 0.4649 8.0019
0.3986 2.9163 7.2698
-0.0301 -3.2847 4.6871
0.4179 0.8241 10.4265
-0.0493 -1.1926 1.5303
-0.6858 -0.7069 7.4682
1.0543 0.3385 4.4886
```

Calculated values
- total magnetization (μB/f.u.) = 0.00

Most favorable first, least favorable last: #x, #y, #w

#w
Material: AcPm2Co
Method: DFT, PBE
State: relaxed

Structure (POSCAR):
```
AcPm2Co
1.0
-2.4362 -1.5554 -2.1163
-1.9412 -0.8779 2.8800
-4.6183 8.1065 -0.6417
Ac Pm Co
1 2 1
Cartesian
-4.4979 2.8366 0.0610
-3.8153 6.6970 -0.5301
-0.8030 1.4095 -0.1116
-2.1887 -1.2167 0.3818
```

Calculated values
- total magnetization (μB/f.u.) = 0.86

#x
Material: AcPm2Co
Method: DFT, PBE
State: relaxed

Structure (POSCAR):
```
AcPm2Co
1.0
3.9832 0.0000 0.0000
1.9916 3.4495 0.0000
1.9916 1.1498 9.4186
Pm Co Ac
2 1 1
Cartesian
1.9916 1.1498 1.4897
1.9916 1.1498 7.9449
3.9832 2.2997 0.0122
3.9832 2.2997 4.6810
```

Calculated values
- total magnetization (μB/f.u.) = 0.00

Most favorable first, least favorable last: #x, #w

#w
Material: Ac3PmCo
Method: DFT, PBE
State: relaxed

Structure (POSCAR):
```
Ac3PmCo
1.0
7.2043 0.1181 -2.8799
-3.5180 6.3634 -2.7093
0.2571 -0.1107 7.8096
Pm Ac Co
2 6 2
Cartesian
-1.1368 6.1327 -1.4063
5.0802 0.2381 3.6267
0.4069 3.3994 4.2105
3.5365 2.9714 -1.9901
3.7022 3.4665 1.9368
0.2412 2.9043 0.2835
-1.9630 6.0546 2.4831
5.9064 0.3162 -0.2627
2.2018 1.5420 3.2404
1.7416 4.8288 -1.0200
```

Calculated values
- total magnetization (μB/f.u.) = 0.00

#x
Material: Ac3PmCo
Method: DFT, PBE
State: relaxed

Structure (POSCAR):
```
Ac3PmCo
1.0
5.6953 0.0000 0.0000
0.0000 5.6953 0.0000
0.0000 0.0000 5.6953
Co Ac Pm
1 3 1
Cartesian
0.0000 0.0000 0.0000
0.0000 0.0000 2.8477
0.0000 2.8477 0.0000
2.8477 0.0000 0.0000
2.8477 2.8477 2.8477
```

Calculated values
- total magnetization (μB/f.u.) = 0.00

Most favorable first, least favorable last: #w, #x

#w
Material: AcPmCo4
Method: DFT, PBE
State: relaxed

Structure (POSCAR):
```
AcPmCo4
1.0
-3.5136 0.4388 -2.4923
0.4027 -3.7258 -1.2237
-3.9356 -2.1246 5.1743
Ac Co Pm
1 4 1
Cartesian
-5.0676 -4.3359 -1.1316
-4.1850 -3.0556 1.6109
-1.9860 -3.8401 -1.6271
-2.8392 -2.3291 -0.1581
-4.6353 -5.2705 1.8564
-7.2366 -3.5353 2.0675
```

Calculated values
- total magnetization (μB/f.u.) = 2.99

#x
Material: AcPmCo4
Method: DFT, PBE
State: relaxed

Structure (POSCAR):
```
AcPmCo4
1.0
5.2411 0.0000 0.0000
2.6206 4.5390 0.0000
2.6206 1.5130 4.2794
Co Ac Pm
4 1 1
Cartesian
5.2411 1.5037 2.6779
5.2411 3.0260 0.5251
6.5594 3.7871 2.6779
3.9229 3.7871 2.6779
2.6206 1.5130 1.0698
0.0000 0.0000 0.0000
```

Calculated values
- total magnetization (μB/f.u.) = 3.55

Most favorable first, least favorable last: #w, #x

#w
Material: AcPm3Co2
Method: DFT, PBE
State: relaxed

Structure (POSCAR):
```
AcPm3Co2
1.0
-0.9786 -2.7662 2.5091
5.4540 -6.5606 -2.1356
7.2248 1.3799 7.3093
Pm Co Ac
6 4 2
Cartesian
4.0203 -6.6653 0.1600
1.3432 -2.3817 3.8385
6.8296 -5.3673 2.6867
4.8707 -2.5796 4.9961
10.3571 -5.5652 3.8443
7.6800 -1.2816 7.5228
3.4719 -0.5277 3.7426
9.8046 -3.1186 6.3262
1.8957 -4.8283 1.3566
8.2284 -7.4193 3.9402
7.6175 -4.9668 6.4058
4.0828 -2.9802 1.2770
```

Calculated values
- total magnetization (μB/f.u.) = 0.02

#x
Material: AcPm3Co2
Method: DFT, PBE
State: relaxed

Structure (POSCAR):
```
AcPm3Co2
1.0
-1.5621 3.5923 -3.2885
-5.1147 -6.2944 -0.4689
-2.9322 5.0229 6.8796
Pm Ac Co
6 2 4
Cartesian
-1.5898 1.2848 2.1586
-4.1070 4.3071 2.6785
-5.5020 -1.9863 0.4437
-5.4436 0.5822 3.2218
-8.0192 1.0360 0.9636
-4.1654 1.7386 -0.0996
-1.5682 -1.1151 -0.4732
-8.0408 3.4359 3.5954
-6.1031 0.1464 -0.9183
-8.0985 0.1488 4.0094
-3.5059 2.1743 4.0405
-1.5104 2.1720 -0.8872
```

Calculated values
- total magnetization (μB/f.u.) = 0.00

Most favorable first, least favorable last: #w, #x

#w
Material: AcPmCo
Method: DFT, PBE
State: relaxed

Structure (POSCAR):
```
AcPmCo
1.0
-3.8836 0.1776 0.6159
-2.3109 -6.4158 -0.1435
-0.9636 -1.5578 6.9512
Ac Pm Co
2 2 2
Cartesian
-3.1341 -3.0099 6.2618
-4.0241 -4.7861 1.1618
-1.6264 -1.9727 2.8912
-5.5317 -5.8233 4.5323
-3.7021 -0.3612 1.9158
-3.4560 -7.4348 5.5078
```

Calculated values
- total magnetization (μB/f.u.) = 0.00

#x
Material: AcPmCo
Method: DFT, PBE
State: relaxed

Structure (POSCAR):
```
AcPmCo
1.0
3.5905 0.0000 0.0000
0.0000 3.5905 0.0000
-1.7953 -1.7953 6.7305
Co Pm Ac
1 1 1
Cartesian
1.7953 1.7953 2.3456
0.0000 0.0000 3.8798
0.0000 0.0000 0.5051
```

Calculated values
- total magnetization (μB/f.u.) = 0.59

#y
Material: AcPmCo
Method: DFT, PBE
State: relaxed

Structure (POSCAR):
```
AcPmCo
1.0
3.7857 0.0000 0.9805
1.8880 6.0730 0.5090
0.0583 -0.4552 7.5734
Co Ac Pm
2 2 2
Cartesian
1.6839 5.2278 1.2968
4.0480 0.3900 7.7662
2.6443 1.1529 5.3873
3.0876 4.4650 3.6757
4.0758 3.9629 7.6589
1.6562 1.6549 1.4041
```

Calculated values
- total magnetization (μB/f.u.) = 0.00

Most favorable first, least favorable last: #w, #y, #x

#w
Material: AcPmCo
Method: DFT, PBE
State: relaxed

Structure (POSCAR):
```
AcPmCo
1.0
-3.2102 -2.2696 3.0296
-4.0597 -2.1672 -1.8594
-0.3745 -4.9491 -0.0386
Ac Pm Co
1 1 1
Cartesian
0.0000 0.0000 0.0000
-3.8222 -4.6929 0.5658
-1.9111 -2.3465 0.2829
```

Calculated values
- total magnetization (μB/f.u.) = 0.00

#x
Material: AcPmCo
Method: DFT, PBE
State: relaxed

Structure (POSCAR):
```
AcPmCo
1.0
-4.7137 -1.6095 -4.2146
1.3148 -3.9024 0.0198
-2.8446 1.2281 2.7125
Pm Co Ac
1 1 1
Cartesian
-2.5120 -0.8419 0.8726
-0.0399 -0.0136 -0.0357
-3.6915 -3.4283 -2.3192
```

Calculated values
- total magnetization (μB/f.u.) = 0.00

Most favorable first, least favorable last: #x, #w

#w
Material: AcPrCo4
Method: DFT, PBE
State: relaxed

Structure (POSCAR):
```
AcPrCo4
1.0
-1.1598 3.2429 1.9366
-4.1970 -1.4131 3.8856
2.3429 0.0181 5.4055
Co Ac Pr
4 1 1
Cartesian
-1.1737 1.6076 8.7000
0.3382 0.7169 3.0338
-3.3520 1.1309 8.1938
-1.8401 0.2401 2.5275
-1.5069 0.9239 5.6138
-1.1598 3.2428 1.9366
```

Calculated values
- total magnetization (μB/f.u.) = 2.96

#x
Material: AcPrCo4
Method: DFT, PBE
State: relaxed

Structure (POSCAR):
```
AcPrCo4
1.0
5.2649 0.0000 0.0000
2.6325 4.5596 0.0000
2.6325 1.5199 4.2988
Co Ac Pr
4 1 1
Cartesian
5.2649 1.5136 2.6890
5.2649 3.0397 0.5307
6.5866 3.8028 2.6890
3.9433 3.8028 2.6890
2.6325 1.5199 1.0747
0.0000 0.0000 0.0000
```

Calculated values
- total magnetization (μB/f.u.) = 3.43

Most favorable first, least favorable last: #w, #x

#w
Material: AcPr2Co2
Method: DFT, PBE
State: relaxed

Structure (POSCAR):
```
AcPr2Co2
1.0
-2.4168 0.5231 -3.1341
-4.4739 -0.7012 3.3329
1.9872 5.7922 1.9770
Pr Co Ac
2 2 1
Cartesian
-1.3945 4.0013 1.7432
-3.5090 1.6128 0.4325
-1.2008 3.0485 -1.1078
-3.7028 2.5656 3.2836
0.0000 0.0000 0.0000
```

Calculated values
- total magnetization (μB/f.u.) = 1.59

#x
Material: AcPr2Co2
Method: DFT, PBE
State: relaxed

Structure (POSCAR):
```
AcPr2Co2
1.0
4.0994 0.0000 0.0000
0.0000 3.8533 -1.0955
0.0000 0.3533 8.5675
Ac Co Pr
1 2 2
Cartesian
0.0000 0.0000 0.0000
0.0000 0.9974 3.5082
0.0000 3.2092 3.9638
2.0497 2.6342 1.9412
2.0497 1.5724 5.5309
```

Calculated values
- total magnetization (μB/f.u.) = 1.06

Most favorable first, least favorable last: #x, #w